No. 1
Here is a crystal of Li4ScTc relaxed with PBEsol from Alexandria via LeMat-Bulk. Energies are from SCAN.

Unit cell a=4.9934 b=4.9934 c=4.9934 alpha=60.00 beta=60.00 gamma=60.00
Atoms (fractional coordinates):
Li  0.3719  0.3719  0.3719
Li  0.3719  0.8842  0.3719
Li  0.3719  0.3719  0.8842
Li  0.8842  0.3719  0.3719
Sc  0.7500  0.7500  0.7500
Tc  0.0000  0.0000  0.0000

Formation energy from the elements: 0.33 eV per atom
N(E_F): 1.158 states/eV/f.u.
Total magnetic moment: 0.000 μB per atom
Total energy: -56.9 eV/cell

No. 2
Here is a crystal of Ga2PAuBr relaxed with PBEsol from Alexandria via LeMat-Bulk. Energies are from SCAN.

Unit cell a=4.7394 b=5.3210 c=5.3210 alpha=90.00 beta=90.00 gamma=90.00
Atoms (fractional coordinates):
Br  0.0000  0.0000  0.0000
P  0.5000  0.0000  0.0000
Ga  0.0000  0.0000  0.5000
Ga  0.0000  0.5000  0.0000
Au  0.5000  0.5000  0.5000

Uncorrected formation energy: 1.040 eV/atom
N(E_F): 2.907 states/eV/f.u.
Total magnetic moment: 0.000 μB per atom
Total energy: -126.5 eV/cell

No. 3
Here is a crystal of K2MoP2O9 relaxed with PBEsol from Alexandria via LeMat-Bulk. Energies are from SCAN.

Unit cell a=7.9821 b=7.9821 c=15.5261 alpha=81.72 beta=81.72 gamma=60.59
Atoms (fractional coordinates):
Mo  0.5303  0.2414  0.6369
Mo  0.7586  0.4697  0.8631
Mo  0.2414  0.5303  0.1369
Mo  0.4697  0.7586  0.3631
O  0.8766  0.1815  0.1329
O  0.2014  0.3496  0.1154
O  0.4669  0.6380  0.9155
O  0.8185  0.1234  0.3671
O  0.3556  0.7198  0.1443
O  0.3620  0.5331  0.5845
O  0.3958  0.3602  0.7502
O  0.5331  0.3620  0.0845
O  0.1815  0.8766  0.6329
O  0.4557  0.2844  0.4022
O  0.1796  0.6762  0.0206
O  0.0276  0.6816  0.1895
O  0.6504  0.7986  0.3846
O  0.8204  0.3238  0.9794
O  0.7198  0.3556  0.6443
O  0.3184  0.9724  0.3105
O  0.3238  0.8204  0.4794
O  0.5552  0.8944  0.1200
O  0.3602  0.3958  0.2502
O  0.3496  0.2014  0.6154
O  0.1056  0.4448  0.3800
O  0.7156  0.5443  0.0978
O  0.4448  0.1056  0.8800
O  0.6762  0.1796  0.5206
O  0.6398  0.6042  0.7498
O  0.1234  0.8185  0.8671
O  0.2844  0.4557  0.9022
O  0.6380  0.4669  0.4155
O  0.2802  0.6444  0.3557
O  0.9724  0.3184  0.8105
O  0.7986  0.6504  0.8846
O  0.6042  0.6398  0.2498
O  0.5443  0.7156  0.5978
O  0.6444  0.2802  0.8557
O  0.6816  0.0276  0.6895
O  0.8944  0.5552  0.6200
K  0.6928  0.0178  0.2366
K  0.2237  0.0683  0.0285
K  0.3072  0.9822  0.7634
K  0.0178  0.6928  0.7366
K  0.7763  0.9317  0.9715
K  0.0683  0.2237  0.5285
K  0.9822  0.3072  0.2634
K  0.9317  0.7763  0.4715
P  0.3431  0.7343  0.5765
P  0.7133  0.5464  0.6540
P  0.6569  0.2657  0.4235
P  0.7343  0.3431  0.0765
P  0.4536  0.2867  0.8460
P  0.2867  0.4536  0.3460
P  0.2657  0.6569  0.9235
P  0.5464  0.7133  0.1540

Uncorrected formation energy: -2.425 eV/atom
N(E_F): 0.000 states/eV/f.u.
Total magnetic moment: 0.000 μB per atom
Total energy: -649.5 eV/cell

No. 4
Here is a crystal of Ba3InRe relaxed with PBEsol from Alexandria via LeMat-Bulk. Energies are from SCAN.

Unit cell a=6.3903 b=6.3903 c=6.3903 alpha=90.00 beta=90.00 gamma=90.00
Atoms (fractional coordinates):
Ba  0.5000  0.0000  0.0000
Ba  0.0000  0.0000  0.5000
Ba  0.0000  0.5000  0.0000
In  0.0000  0.0000  0.0000
Re  0.5000  0.5000  0.5000

Formation energy from the elements: 1.25 eV per atom
N(E_F): 7.579 states/eV/f.u.
Total magnetic moment: 0.604 μB per atom
Total energy: -216.9 eV/cell

No. 5
Here is a crystal of BaInP2 relaxed with PBEsol from Alexandria via LeMat-Bulk. Energies are from SCAN.

Unit cell a=3.9260 b=5.1449 c=5.6573 alpha=90.74 beta=110.30 gamma=90.00
Atoms (fractional coordinates):
P  0.9551  0.0504  0.9102
P  0.7991  0.7735  0.5982
Ba  0.5147  0.5561  0.0294
In  0.2311  0.1200  0.4622

Formation energy from the elements: -0.48 eV per atom
N(E_F): 1.898 states/eV/f.u.
Total magnetic moment: 0.000 μB per atom
Total energy: -95.6 eV/cell

No. 6
Here is a crystal of Li2AlIn relaxed with PBEsol from Alexandria via LeMat-Bulk. Energies are from SCAN.

Unit cell a=2.9629 b=4.0936 c=5.7953 alpha=90.00 beta=90.00 gamma=90.00
Atoms (fractional coordinates):
In  0.5000  0.5000  0.0000
Li  0.0000  0.0000  0.7413
Li  0.0000  0.0000  0.2586
Al  0.5000  0.5000  0.5000

Formation energy from the elements: -0.21 eV per atom
N(E_F): 1.017 states/eV/f.u.
Total magnetic moment: 0.001 μB per atom
Total energy: -46.8 eV/cell

No. 7
Here is a crystal of ReRu2Pb relaxed with PBEsol from Alexandria via LeMat-Bulk. Energies are from SCAN.

Unit cell a=2.8662 b=3.7441 c=5.9091 alpha=90.00 beta=89.99 gamma=90.00
Atoms (fractional coordinates):
Pb  0.5000  0.5000  0.0000
Ru  0.9999  0.0000  0.7212
Ru  0.0001  0.0000  0.2788
Re  0.5000  0.5000  0.5000

Formation energy from the elements: 0.53 eV per atom
N(E_F): 3.792 states/eV/f.u.
Total magnetic moment: 0.000 μB per atom
Total energy: -214.4 eV/cell

No. 8
Here is a crystal of LaTa2P2 relaxed with PBEsol from Alexandria via LeMat-Bulk. Energies are from SCAN.

Unit cell a=3.9256 b=3.9256 c=6.8302 alpha=106.70 beta=106.70 gamma=90.00
Atoms (fractional coordinates):
P  0.6199  0.6199  0.2398
P  0.3801  0.3801  0.7602
Ta  0.7500  0.2500  0.5000
Ta  0.2500  0.7500  0.5000
La  0.0000  0.0000  0.0000

Formation energy from the elements: -0.97 eV per atom
N(E_F): 2.271 states/eV/f.u.
Total magnetic moment: 0.000 μB per atom
Total energy: -201.9 eV/cell

No. 9
Here is a crystal of La2Os relaxed with PBEsol from Alexandria via LeMat-Bulk. Energies are from SCAN.

Unit cell a=3.1490 b=4.9220 c=4.9220 alpha=120.00 beta=90.00 gamma=90.00
Atoms (fractional coordinates):
La  0.0000  0.3333  0.6667
La  0.0000  0.6667  0.3333
Os  0.5000  0.0000  0.0000

Formation energy from the elements: 0.28 eV per atom
N(E_F): 2.389 states/eV/f.u.
Total magnetic moment: 0.000 μB per atom
Total energy: -157.2 eV/cell

No. 10
Here is a crystal of La2CdOsF relaxed with PBEsol from Alexandria via LeMat-Bulk. Energies are from SCAN.

Unit cell a=4.3598 b=4.9895 c=4.9895 alpha=90.00 beta=90.00 gamma=90.00
Atoms (fractional coordinates):
Os  0.5000  0.0000  0.0000
F  0.0000  0.0000  0.0000
Cd  0.5000  0.5000  0.5000
La  0.0000  0.5000  0.0000
La  0.0000  0.0000  0.5000

Uncorrected formation energy: -0.563 eV/atom
N(E_F): 3.981 states/eV/f.u.
Total magnetic moment: 0.071 μB per atom
Total energy: -194.9 eV/cell

No. 11
Here is a crystal of Tm2NiRu relaxed with PBEsol from Alexandria via LeMat-Bulk. Energies are from SCAN.

Unit cell a=4.6501 b=4.6501 c=4.6501 alpha=60.00 beta=60.00 gamma=60.00
Atoms (fractional coordinates):
Tm  0.7500  0.7500  0.7500
Tm  0.2500  0.2500  0.2500
Ru  0.0000  0.0000  0.0000
Ni  0.5000  0.5000  0.5000

Formation energy from the elements: -0.55 eV per atom
N(E_F): 1.508 states/eV/f.u.
Total magnetic moment: 0.074 μB per atom
Total energy: -156.9 eV/cell

No. 12
Here is a crystal of KLiCaLa2 relaxed with PBEsol from Alexandria via LeMat-Bulk. Energies are from SCAN.

Unit cell a=5.6809 b=5.6809 c=6.1702 alpha=90.00 beta=90.00 gamma=90.00
Atoms (fractional coordinates):
Ca  0.5000  0.5000  0.5000
Li  0.0000  0.0000  0.0000
La  0.0000  0.5000  0.0000
La  0.5000  0.0000  0.0000
K  0.0000  0.0000  0.5000

Formation energy from the elements: 0.55 eV per atom
N(E_F): 6.752 states/eV/f.u.
Total magnetic moment: 0.504 μB per atom
Total energy: -103.9 eV/cell

No. 13
Here is a crystal of Si2NiHg relaxed with PBEsol from Alexandria via LeMat-Bulk. Energies are from SCAN.

Unit cell a=3.7082 b=4.1054 c=4.1054 alpha=101.83 beta=90.00 gamma=90.00
Atoms (fractional coordinates):
Si  0.0000  0.5000  0.0000
Si  0.0000  0.0000  0.5000
Hg  0.5000  0.0000  0.0000
Ni  0.5000  0.5000  0.5000

Uncorrected formation energy: 0.569 eV/atom
N(E_F): 1.884 states/eV/f.u.
Total magnetic moment: 0.000 μB per atom
Total energy: -102.1 eV/cell

No. 14
Here is a crystal of Li3FeP2O8 relaxed with PBEsol from Alexandria via LeMat-Bulk. Energies are from SCAN.

Unit cell a=8.6451 b=8.6451 c=8.6451 alpha=57.13 beta=57.13 gamma=57.13
Atoms (fractional coordinates):
P  0.9664  0.5276  0.2654
P  0.0469  0.4554  0.7463
P  0.7463  0.0469  0.4554
P  0.4554  0.7463  0.0469
P  0.5276  0.2654  0.9664
P  0.2654  0.9664  0.5276
O  0.4675  0.3625  0.1017
O  0.3953  0.7474  0.6152
O  0.0573  0.0029  0.6807
O  0.7474  0.6152  0.3953
O  0.9639  0.3384  0.2811
O  0.8770  0.4909  0.7069
O  0.7075  0.0581  0.6469
O  0.3149  0.9647  0.0145
O  0.1017  0.4675  0.3625
O  0.2811  0.9639  0.3384
O  0.9647  0.0145  0.3149
O  0.0145  0.3149  0.9647
O  0.3625  0.1017  0.4675
O  0.3471  0.6205  0.2560
O  0.6152  0.3953  0.7474
O  0.6469  0.7075  0.0581
O  0.0029  0.6807  0.0573
O  0.4909  0.7069  0.8770
O  0.6205  0.2560  0.3471
O  0.0581  0.6469  0.7075
O  0.7069  0.8770  0.4909
O  0.6807  0.0573  0.0029
O  0.3384  0.2811  0.9639
O  0.2560  0.3471  0.6205
Li  0.1469  0.7771  0.4197
Li  0.9604  0.9604  0.9604
Li  0.5994  0.8463  0.2105
Li  0.7771  0.4197  0.1469
Li  0.8377  0.8377  0.8377
Li  0.4197  0.1469  0.7771
Li  0.2105  0.5994  0.8463
Li  0.5243  0.5243  0.5243
Li  0.8463  0.2105  0.5994
Fe  0.3566  0.3566  0.3566
Fe  0.1493  0.1493  0.1493
Fe  0.6461  0.6461  0.6461

Uncorrected formation energy: -2.329 eV/atom
Polymorph energy (0 for the lowest one): 93 meV/atom
N(E_F): 2.292 states/eV/f.u.
Total magnetic moment: 0.071 μB per atom
Total energy: -385.7 eV/cell

No. 15
Here is a crystal of ZnCu2Ni relaxed with PBEsol from Alexandria via LeMat-Bulk. Energies are from SCAN.

Unit cell a=2.5056 b=4.4001 c=4.8438 alpha=115.66 beta=102.79 gamma=94.70
Atoms (fractional coordinates):
Cu  0.5000  0.5000  0.5000
Cu  0.0000  0.0000  0.5000
Zn  0.5000  0.0000  0.0000
Ni  0.0000  0.5000  0.0000

Formation energy from the elements: -0.03 eV per atom
N(E_F): 1.509 states/eV/f.u.
Total magnetic moment: 0.000 μB per atom
Total energy: -60.2 eV/cell

No. 16
Here is a crystal of SrMgO2 relaxed with PBEsol from Alexandria via LeMat-Bulk. Energies are from SCAN.

Unit cell a=3.3947 b=3.3947 c=6.7376 alpha=75.41 beta=75.41 gamma=60.00
Atoms (fractional coordinates):
Sr  0.0000  0.0000  0.0000
Mg  0.5000  0.5000  0.5000
O  0.1138  0.1138  0.6585
O  0.8862  0.8862  0.3415

Uncorrected formation energy: -1.768 eV/atom
N(E_F): 1.673 states/eV/f.u.
Total magnetic moment: 0.075 μB per atom
Total energy: -46.8 eV/cell

No. 17
Here is a crystal of CaTe2Se relaxed with PBEsol from Alexandria via LeMat-Bulk. Energies are from SCAN.

Unit cell a=3.9462 b=4.4187 c=6.4753 alpha=101.27 beta=90.00 gamma=90.00
Atoms (fractional coordinates):
Se  0.5000  0.5000  0.0000
Te  0.0000  0.1192  0.7420
Te  0.0000  0.8808  0.2580
Ca  0.5000  0.5000  0.5000

Uncorrected formation energy: -0.722 eV/atom
N(E_F): 1.336 states/eV/f.u.
Total magnetic moment: 0.000 μB per atom
Total energy: -107.1 eV/cell

No. 18
Here is a crystal of RbTa3Te2O12 relaxed with PBEsol from Alexandria via LeMat-Bulk. Energies are from SCAN.

Unit cell a=3.9254 b=15.0582 c=17.5390 alpha=90.00 beta=90.00 gamma=90.00
Atoms (fractional coordinates):
Te  0.3678  0.0867  0.4042
Te  0.6322  0.9133  0.9042
Te  0.6322  0.9133  0.5958
Te  0.3678  0.4133  0.9042
Te  0.3678  0.4133  0.5958
Te  0.3678  0.0867  0.0958
Te  0.6322  0.5867  0.4042
Te  0.6322  0.5867  0.0958
O  0.7074  0.1048  0.3274
O  0.7217  0.0665  0.4764
O  0.2202  0.1450  0.9350
O  0.2926  0.6048  0.3274
O  0.7217  0.4335  0.9764
O  0.2926  0.8952  0.6726
O  0.2926  0.8952  0.8274
O  0.2932  0.5315  0.8717
O  0.2932  0.9685  0.1283
O  0.7798  0.8550  0.4350
O  0.7100  0.2927  0.1681
O  0.7217  0.4335  0.5236
O  0.2920  0.7500  0.5000
O  0.2932  0.5315  0.6283
O  0.7798  0.8550  0.0650
O  0.7074  0.3952  0.8274
O  0.2900  0.7073  0.8319
O  0.2202  0.1450  0.5650
O  0.7858  0.8022  0.7500
O  0.7074  0.3952  0.6726
O  0.7068  0.0315  0.6283
O  0.7217  0.0665  0.0236
O  0.7100  0.2927  0.3319
O  0.2900  0.7927  0.3319
O  0.7858  0.6978  0.2500
O  0.7080  0.2500  0.5000
O  0.2783  0.5665  0.0236
O  0.7100  0.2073  0.6681
O  0.7068  0.0315  0.8717
O  0.2142  0.1978  0.2500
O  0.7080  0.2500  0.0000
O  0.7798  0.6450  0.9350
O  0.2900  0.7073  0.6681
O  0.2202  0.3550  0.4350
O  0.2920  0.7500  0.0000
O  0.7100  0.2073  0.8319
O  0.7798  0.6450  0.5650
O  0.2783  0.9335  0.9764
O  0.2783  0.5665  0.4764
O  0.7068  0.4685  0.3717
O  0.2202  0.3550  0.0650
O  0.7074  0.1048  0.1726
O  0.2142  0.3022  0.7500
O  0.2932  0.9685  0.3717
O  0.2900  0.7927  0.1681
O  0.2783  0.9335  0.5236
O  0.7068  0.4685  0.1283
O  0.2926  0.6048  0.1726
Ta  0.2587  0.6499  0.9305
Ta  0.2649  0.7949  0.7500
Ta  0.2587  0.6499  0.5695
Ta  0.7413  0.1499  0.9305
Ta  0.7413  0.3501  0.0695
Ta  0.7413  0.1499  0.5695
Ta  0.7351  0.2949  0.7500
Ta  0.2587  0.8501  0.0695
Ta  0.2649  0.7051  0.2500
Ta  0.7351  0.2051  0.2500
Ta  0.7413  0.3501  0.4305
Ta  0.2587  0.8501  0.4305
Rb  0.2156  0.4260  0.2500
Rb  0.7844  0.9260  0.2500
Rb  0.2156  0.0740  0.7500
Rb  0.7844  0.5740  0.7500

Uncorrected formation energy: -2.390 eV/atom
N(E_F): 0.000 states/eV/f.u.
Total magnetic moment: 0.000 μB per atom
Total energy: -1651.2 eV/cell

No. 19
Here is a crystal of AlPSe relaxed with PBEsol from Alexandria via LeMat-Bulk. Energies are from SCAN.

Unit cell a=4.3662 b=4.3662 c=4.3662 alpha=60.00 beta=60.00 gamma=60.00
Atoms (fractional coordinates):
Se  0.2500  0.2500  0.2500
Al  0.0000  0.0000  0.0000
P  0.5000  0.5000  0.5000

Uncorrected formation energy: 0.660 eV/atom
N(E_F): 2.202 states/eV/f.u.
Total magnetic moment: 0.000 μB per atom
Total energy: -36.2 eV/cell

No. 20
Here is a crystal of LaSnB3 relaxed with PBEsol from Alexandria via LeMat-Bulk. Energies are from SCAN.

Unit cell a=4.4327 b=4.4327 c=4.4327 alpha=90.00 beta=90.00 gamma=90.00
Atoms (fractional coordinates):
B  0.5000  0.0000  0.0000
B  0.0000  0.0000  0.5000
B  0.0000  0.5000  0.0000
La  0.5000  0.5000  0.5000
Sn  0.0000  0.0000  0.0000

Formation energy from the elements: 1.26 eV per atom
N(E_F): 2.243 states/eV/f.u.
Total magnetic moment: 0.000 μB per atom
Total energy: -95.0 eV/cell